CeThRuPt after structural relaxation, computed with PBE.

a = 4.5025 Å, b = 3.9791 Å, c = 10.3802 Å
α = 90.00°, β = 90.00°, γ = 90.00°
Space group Amm2 (No. 38)
Symmetry-distinct sites (fractional):
Ce1 0.0000 0.0000 0.0000 [2 per cell]
Th1 0.5000 0.0000 0.2876 [2 per cell]
Ru1 0.0000 0.0000 0.7702 [2 per cell]
Pt1 0.5000 0.0000 0.5683 [2 per cell]

Calculated values
- Formation energy from the elements: -81.2 kJ/mol of atoms
- Excess energy over the best structure of this formula in the dataset: 0.000 eV/atom
- DOS at the Fermi energy: 6.420 states/eV per cell
- Calculated total energy: -8.0090 eV/atom